Entry 1:
{
  "formula": "CoTc4",
  "functional": "PBE-GGA",
  "state": "relaxed",
  "e_above_lowest_polymorph_ev_per_atom": 0.014,
  "e_tot_ev_per_atom": -9.640,
  "sg": "I4/m",
  "lattice": [[4.609, -0.544, 0.426], [-3.573, -2.227, 1.999], [-0.554, -1.422, -4.404]],
  "species": ["Co", "Tc", "Tc", "Tc", "Tc"],
  "frac_coords": [[0.000, 0.000, 0.000], [0.208, 0.607, 0.814], [0.792, 0.393, 0.186], [0.393, 0.208, 0.601], [0.607, 0.792, 0.399]]
}



Entry 2:
{
  "formula": "AgBi2Pb",
  "functional": "PBE-GGA",
  "state": "relaxed",
  "e_tot_ev_per_atom": -3.498,
  "sg": "P4/mmm",
  "lattice": [[3.397, 0.000, 0.000], [0.000, 3.397, 0.000], [0.000, 0.000, 9.862]],
  "species": ["Bi", "Bi", "Ag", "Pb"],
  "frac_coords": [[0.000, 0.000, 0.785], [0.000, 0.000, 0.215], [0.500, 0.500, 0.000], [0.500, 0.500, 0.500]]
}